# Er7Ag2Pd2

An optimized crystal structure of Er7Ag2Pd2 (GGA-PBE, the Alexandria database).

Calculated volume in A^3/atom: 27.40
E_form in eV/atom: -0.26
Space group: Cmmm (65)
Energy in Ry/atom: -0.34020

Cell: 6.680 7.120 6.680 Å, 90.00 108.42 90.00°
Sites, in units of the cell vectors:
Er 0.000 0.261 0.500
Er 0.500 0.739 0.000
Er 0.000 0.739 0.500
Er 0.500 0.261 0.000
Er 0.000 0.000 0.000
Er 0.500 0.745 0.500
Er 0.500 0.255 0.500
Ag 0.818 0.500 0.818
Ag 0.182 0.500 0.182
Pd 0.712 0.000 0.288
Pd 0.288 0.000 0.712